1.
Compound: RbPt2O4
Source: the Alexandria database
Functional: GGA-PBE
Structure: relaxed

POSCAR file:
```
RbPt2O4
1.0
-1.148 -3.203 -5.944
5.543 2.996 -2.685
0.659 -3.794 5.863
Pt O Rb
4 8 2
Direct
0.125 0.875 0.250
0.125 0.375 0.250
0.125 0.875 0.750
0.625 0.875 0.750
0.268 0.880 0.072
0.130 0.554 0.572
0.808 0.732 0.928
0.982 0.870 0.428
0.446 0.558 0.428
0.120 0.196 0.928
0.804 0.192 0.072
0.442 0.018 0.572
0.500 0.500 0.000
0.750 0.250 0.500
```

Results
final energy: -5.439 eV per atom
uncorrected formation energy: -742 meV/atom
DOS(E_F): 0.498 states/eV/atom
theoretical density: 7.530 g cm⁻³
space-group type: I4_1/a
total magnetic moment: 0.0 μB per cell



2.
Compound: NbAlNiAu
Source: the Alexandria database
Functional: GGA-PBE
Structure: relaxed

POSCAR file:
```
NbAlNiAu
1.0
2.924 0.000 0.000
0.000 2.924 0.000
0.000 0.000 7.090
Nb Al Ni Au
1 1 1 1
Direct
0.500 0.500 0.792
0.500 0.500 0.356
0.000 0.000 0.542
0.000 0.000 0.095
```

Results
final energy: -6.067 eV per atom
DOS(E_F): 0.636 states/eV/atom
theoretical density: 10.285 g cm⁻³
space-group type: P4mm
total magnetic moment: 0.0 μB per cell



3.
Compound: Pr2NpGe3Ir4
Source: the Alexandria database
Functional: GGA-PBE
Structure: relaxed

POSCAR file:
```
Pr2NpGe3Ir4
1.0
4.263 0.000 0.000
0.000 4.263 0.000
0.000 0.000 11.009
Ge Ir Np Pr
3 4 1 2
Direct
0.000 0.000 0.500
0.000 0.500 0.123
0.500 0.000 0.877
0.500 0.000 0.650
0.500 0.500 0.000
0.000 0.500 0.350
0.000 0.000 0.000
0.500 0.500 0.500
0.000 0.500 0.769
0.500 0.000 0.231
```

Results
final energy: -7.856 eV per atom
DOS(E_F): 0.726 states/eV/atom
theoretical density: 12.499 g cm⁻³
space-group type: P-4m2
total magnetic moment: 3.5 μB per cell



4.
Compound: Np2MnV
Source: the Alexandria database
Functional: GGA-PBE
Structure: relaxed

POSCAR file:
```
Np2MnV
1.0
2.780 0.000 0.000
1.390 2.408 0.000
1.390 0.803 9.587
V Np Mn
1 2 1
Direct
0.500 0.500 0.500
0.919 0.919 0.242
0.081 0.081 0.758
0.000 0.000 0.000
```

Results
final energy: -10.491 eV per atom
DOS(E_F): 2.244 states/eV/atom
theoretical density: 15.003 g cm⁻³
space-group type: R-3m
total magnetic moment: 1.6 μB per cell



5.
Compound: SrLaCu10
Source: the Alexandria database
Functional: GGA-PBE
Structure: relaxed

POSCAR file:
```
SrLaCu10
1.0
4.043 0.000 0.000
0.000 5.286 0.000
0.000 0.000 9.036
Cu Sr La
10 1 1
Direct
0.000 0.000 0.336
0.000 0.000 0.664
0.500 0.500 0.000
0.500 0.253 0.746
0.500 0.747 0.254
0.500 0.253 0.254
0.000 0.500 0.832
0.500 0.000 0.500
0.500 0.747 0.746
0.000 0.500 0.168
0.000 0.000 0.000
0.000 0.500 0.500
```

Results
final energy: -4.078 eV per atom
DOS(E_F): 0.495 states/eV/atom
theoretical density: 7.413 g cm⁻³
space-group type: Pmmm
total magnetic moment: 0.0 μB per cell



6.
Compound: YTa3Br
Source: the Alexandria database
Functional: GGA-PBE
Structure: relaxed

POSCAR file:
```
YTa3Br
1.0
4.817 0.000 0.000
0.000 4.817 0.000
0.000 0.000 4.817
Y Br Ta
1 1 3
Direct
0.500 0.500 0.500
0.000 0.000 0.000
0.000 0.000 0.500
0.500 0.000 0.000
0.000 0.500 0.000
```

Results
final energy: -7.691 eV per atom
uncorrected formation energy: 1048 meV/atom
DOS(E_F): 1.095 states/eV/atom
theoretical density: 10.572 g cm⁻³
space-group type: Pm-3m
total magnetic moment: 0.0 μB per cell



7.
Compound: Rb6I3O
Source: the Alexandria database
Functional: GGA-PBE
Structure: relaxed

POSCAR file:
```
Rb6I3O
1.0
0.835 6.317 7.913
-9.742 -2.457 1.509
3.969 -8.143 4.600
Rb I O
12 6 2
Direct
0.767 0.580 0.463
0.233 0.420 0.537
0.463 0.767 0.580
0.059 0.980 0.276
0.537 0.233 0.420
0.980 0.276 0.059
0.276 0.059 0.980
0.020 0.724 0.941
0.580 0.463 0.767
0.724 0.941 0.020
0.420 0.537 0.233
0.941 0.020 0.724
0.080 0.619 0.287
0.920 0.381 0.713
0.713 0.920 0.381
0.619 0.287 0.080
0.381 0.713 0.920
0.287 0.080 0.619
0.000 0.000 0.000
0.500 0.500 0.500
```

Results
final energy: -2.691 eV per atom
uncorrected formation energy: -1150 meV/atom
DOS(E_F): 0.278 states/eV/atom
theoretical density: 2.942 g cm⁻³
space-group type: R-3
total magnetic moment: 1.3 μB per cell



8.
Compound: Rb2Li3Br5
Source: the Alexandria database
Functional: GGA-PBE
Structure: relaxed

POSCAR file:
```
Rb2Li3Br5
1.0
6.495 0.000 3.546
0.903 9.375 6.069
-1.715 2.138 10.863
Br Rb Li
10 4 6
Direct
0.942 0.308 0.308
0.421 0.205 0.952
0.579 0.795 0.048
0.079 0.048 0.795
0.750 0.500 0.500
0.442 0.308 0.308
0.558 0.692 0.692
0.250 0.500 0.500
0.058 0.692 0.692
0.921 0.952 0.205
0.682 0.001 0.636
0.818 0.364 0.999
0.182 0.636 0.001
0.318 0.999 0.364
0.090 0.329 0.490
0.410 0.510 0.671
0.590 0.490 0.329
0.250 0.000 0.000
0.750 0.000 0.000
0.910 0.671 0.510
```

Results
final energy: -3.179 eV per atom
uncorrected formation energy: -1575 meV/atom
DOS(E_F): 0.000 states/eV/atom
theoretical density: 3.063 g cm⁻³
space-group type: Ibam
total magnetic moment: 0.0 μB per cell



9.
Compound: K2Al2I
Source: the Alexandria database
Functional: GGA-PBE
Structure: relaxed

POSCAR file:
```
K2Al2I
1.0
-1.334 0.676 -5.071
4.701 -1.906 -1.491
-1.102 -7.356 -3.447
I K Al
1 2 2
Direct
0.000 0.000 0.000
0.250 0.750 0.500
0.750 0.250 0.500
0.414 0.414 0.172
0.586 0.586 0.828
```

Results
final energy: -1.994 eV per atom
uncorrected formation energy: 253 meV/atom
DOS(E_F): 0.622 states/eV/atom
theoretical density: 2.109 g cm⁻³
space-group type: I4/mmm
total magnetic moment: 0.0 μB per cell



10.
Compound: Al2InRu
Source: the Alexandria database
Functional: GGA-PBE
Structure: relaxed

POSCAR file:
```
Al2InRu
1.0
4.928 0.000 0.000
1.665 4.638 0.000
-3.296 -2.319 2.836
Al In Ru
2 1 1
Direct
0.000 0.000 0.000
0.500 0.500 0.000
0.250 0.750 0.500
0.750 0.250 0.500
```

Results
final energy: -4.995 eV per atom
DOS(E_F): 0.545 states/eV/atom
theoretical density: 6.913 g cm⁻³
space-group type: I4/mmm
total magnetic moment: 0.0 μB per cell



11.
Compound: Er2HgPd3
Source: the Alexandria database
Functional: GGA-PBE
Structure: relaxed

POSCAR file:
```
Er2HgPd3
1.0
5.606 0.000 0.000
0.000 7.337 -0.137
0.000 -3.190 6.609
Pd Hg Er
6 2 4
Direct
0.970 0.500 0.500
0.470 0.832 0.168
0.970 0.832 0.168
0.470 0.500 0.500
0.470 0.168 0.832
0.970 0.168 0.832
0.720 0.818 0.818
0.220 0.182 0.182
0.220 0.841 0.511
0.720 0.159 0.489
0.720 0.489 0.159
0.220 0.511 0.841
```

Results
final energy: -4.804 eV per atom
DOS(E_F): 0.417 states/eV/atom
theoretical density: 10.531 g cm⁻³
space-group type: Cmcm
total magnetic moment: 0.0 μB per cell